Entry from the Alexandria database: a geometry-optimized Tc2WI structure (PBE).

a b c (Å): 5.781 5.781 7.160
angles (deg): 66.19 66.19 90.00
Fractional positions:
I1 0.500 0.500 0.000
I2 0.250 0.750 0.500
Tc1 0.652 0.125 0.250
Tc2 0.098 0.625 0.250
Tc3 0.375 0.348 0.750
Tc4 0.875 0.902 0.750
W1 0.000 0.000 0.000
W2 0.750 0.250 0.500

Summary:
Total moment, μB per cell: 0.00
Uncorrected formation energy, eV/atom: 1.287
Crystal system: tetragonal
Energy above the most stable polymorph in this dataset, meV/atom: 256


Entry from the Alexandria database: a geometry-optimized Tc2WI2 structure (PBE).

a b c (Å): 4.317 4.317 6.578
angles (deg): 70.85 70.85 90.00
Fractional positions:
I1 0.750 0.250 0.500
I2 0.250 0.750 0.500
Tc1 0.401 0.401 0.198
Tc2 0.599 0.599 0.802
W1 0.000 0.000 0.000

Summary:
Total moment, μB per cell: 1.56
Uncorrected formation energy, eV/atom: 1.718
Crystal system: tetragonal
Energy above the most stable polymorph in this dataset, meV/atom: 461


Entry from the Alexandria database: a geometry-optimized Tc2WI2 structure (PBE).

a b c (Å): 7.671 7.671 3.150
angles (deg): 90.00 90.00 90.00
Fractional positions:
I1 0.345 0.845 0.000
I2 0.845 0.655 0.000
I3 0.655 0.155 0.000
I4 0.155 0.345 0.000
Tc1 0.151 0.651 0.500
Tc2 0.651 0.849 0.500
Tc3 0.849 0.349 0.500
Tc4 0.349 0.151 0.500
W1 0.000 0.000 0.000
W2 0.500 0.500 0.000

Summary:
Total moment, μB per cell: 0.00
Uncorrected formation energy, eV/atom: 1.492
Crystal system: tetragonal
Energy above the most stable polymorph in this dataset, meV/atom: 234


Entry from the Alexandria database: a geometry-optimized TcW2I structure (PBE).

a b c (Å): 4.593 4.593 4.593
angles (deg): 60.00 60.00 60.00
Fractional positions:
I1 0.500 0.500 0.500
Tc1 0.000 0.000 0.000
W1 0.250 0.250 0.250
W2 0.750 0.750 0.750

Summary:
Total moment, μB per cell: 0.00
Uncorrected formation energy, eV/atom: 1.193
Crystal system: cubic
Energy above the most stable polymorph in this dataset, meV/atom: 0


Entry from the Alexandria database: a geometry-optimized TcW2I2 structure (PBE).

a b c (Å): 4.401 4.401 6.698
angles (deg): 70.82 70.82 90.00
Fractional positions:
I1 0.750 0.250 0.500
I2 0.250 0.750 0.500
Tc1 0.000 0.000 0.000
W1 0.400 0.400 0.201
W2 0.600 0.600 0.799

Summary:
Total moment, μB per cell: 1.51
Uncorrected formation energy, eV/atom: 1.834
Crystal system: tetragonal
Energy above the most stable polymorph in this dataset, meV/atom: 373


Entry from the Alexandria database: a geometry-optimized Y3TcI structure (PBE).

a b c (Å): 5.432 5.432 5.432
angles (deg): 90.00 90.00 90.00
Fractional positions:
I1 0.500 0.500 0.500
Y1 0.000 0.500 0.000
Y2 0.000 0.000 0.500
Y3 0.500 0.000 0.000
Tc1 0.000 0.000 0.000

Summary:
Total moment, μB per cell: 0.00
Uncorrected formation energy, eV/atom: 0.024
Crystal system: cubic
Energy above the most stable polymorph in this dataset, meV/atom: 0


Entry from the Alexandria database: a geometry-optimized YTc2I structure (PBE).

a b c (Å): 4.720 4.720 4.720
angles (deg): 60.00 60.00 60.00
Fractional positions:
I1 0.500 0.500 0.500
Y1 0.000 0.000 0.000
Tc1 0.250 0.250 0.250
Tc2 0.750 0.750 0.750

Summary:
Total moment, μB per cell: 0.00
Uncorrected formation energy, eV/atom: 0.595
Crystal system: cubic
Energy above the most stable polymorph in this dataset, meV/atom: 0


Entry from the Alexandria database: a geometry-optimized YTcI3 structure (PBE).

a b c (Å): 5.361 5.361 5.361
angles (deg): 90.00 90.00 90.00
Fractional positions:
I1 0.000 0.500 0.000
I2 0.000 0.000 0.500
I3 0.500 0.000 0.000
Y1 0.500 0.500 0.500
Tc1 0.000 0.000 0.000

Summary:
Total moment, μB per cell: 0.00
Uncorrected formation energy, eV/atom: 0.305
Crystal system: cubic


> What is the formula in the fifth record?

TcW2I2


Copy entry 3 word for word.
Entry from the Alexandria database: a geometry-optimized Tc2WI2 structure (PBE).

a b c (Å): 7.671 7.671 3.150
angles (deg): 90.00 90.00 90.00
Fractional positions:
I1 0.345 0.845 0.000
I2 0.845 0.655 0.000
I3 0.655 0.155 0.000
I4 0.155 0.345 0.000
Tc1 0.151 0.651 0.500
Tc2 0.651 0.849 0.500
Tc3 0.849 0.349 0.500
Tc4 0.349 0.151 0.500
W1 0.000 0.000 0.000
W2 0.500 0.500 0.000

Summary:
Total moment, μB per cell: 0.00
Uncorrected formation energy, eV/atom: 1.492
Crystal system: tetragonal
Energy above the most stable polymorph in this dataset, meV/atom: 234


> The lowest uncorrected formation energy belongs to which entry?

Y3TcI